(1)
This record from the Alexandria database describes a relaxed Sr4LaMg5 crystal. The functional is PBE-GGA.

Output
- M_tot: 0.00 μB/f.u.
- Fermi-level density of states: 1.037 states/eV/atom
- ρ: 2.9 g/cm³
- Total energy: -2.03 eV per atom
- ΔE_f: -0.0628 eV per atom

Geometry as extended XYZ:
```
10
Lattice="4.119 0.000 0.000 0.000 4.119 0.000 0.000 0.000 20.840" Properties=species:S:1:pos:R:3 pbc="T T T"
Sr 0.000 0.000 12.563
Sr 0.000 0.000 8.277
Mg 2.060 2.060 10.420
Mg 2.060 2.060 18.991
Sr 0.000 0.000 4.023
Mg 2.060 2.060 14.681
Mg 2.060 2.060 6.160
Mg 2.060 2.060 1.849
La 0.000 0.000 0.000
Sr 0.000 0.000 16.817
```

---

(2)
This record from the Alexandria database describes a relaxed Sr2LaMg crystal. The functional is PBE-GGA.

Output
- M_tot: 0.01 μB/f.u.
- Fermi-level density of states: 1.471 states/eV/atom
- ρ: 3.4 g/cm³
- Total energy: -2.34 eV per atom
- ΔE_f: 0.1355 eV per atom

Geometry as extended XYZ:
```
4
Lattice="3.967 0.000 0.000 1.983 3.435 0.000 1.983 1.145 12.246" Properties=species:S:1:pos:R:3 pbc="T T T"
La 3.967 2.290 6.112
Sr 1.983 1.145 2.842
Sr 1.983 1.145 9.408
Mg 3.967 2.290 0.007
```

---

(3)
This record from the Alexandria database describes a relaxed SrLaMg crystal. The functional is PBE-GGA.

Output
- Distance to the lowest polymorph of the same formula: 28.58 kJ per mole of atoms
- M_tot: 0.00 μB/f.u.
- Fermi-level density of states: 1.558 states/eV/atom
- ρ: 3.2 g/cm³
- Total energy: -2.43 eV per atom
- ΔE_f: 0.3066 eV per atom

Geometry as extended XYZ:
```
3
Lattice="-3.129 3.790 -2.843 -4.764 -1.643 -2.615 -5.052 1.606 2.033" Properties=species:S:1:pos:R:3 pbc="T T T"
Mg -9.710 2.815 -2.569
La -6.473 1.876 -1.712
Sr 0.000 0.000 0.000
```

---

(4)
This record from the Alexandria database describes a relaxed SrLa3Mg crystal. The functional is PBE-GGA.

Output
- Distance to the lowest polymorph of the same formula: 45.86 kJ per mole of atoms
- M_tot: 0.00 μB/f.u.
- Fermi-level density of states: 1.638 states/eV/atom
- ρ: 4.1 g/cm³
- Total energy: -2.73 eV per atom
- ΔE_f: 0.8837 eV per atom

Geometry as extended XYZ:
```
5
Lattice="-2.490 5.174 1.665 -5.400 -2.561 -0.116 0.613 -1.552 5.740" Properties=species:S:1:pos:R:3 pbc="T T T"
Sr 0.000 0.000 0.000
La -1.245 2.587 0.833
La 0.307 -0.776 2.870
La -2.700 -1.281 -0.058
Mg -3.638 0.530 3.645
```

---

(5)
This record from the Alexandria database describes a relaxed Sr2LaMg crystal. The functional is PBE-GGA.

Output
- M_tot: 0.00 μB/f.u.
- Fermi-level density of states: 1.412 states/eV/atom
- ρ: 3.5 g/cm³
- Total energy: -2.37 eV per atom
- ΔE_f: 0.1031 eV per atom

Geometry as extended XYZ:
```
4
Lattice="-0.458 7.249 -0.114 -3.856 5.752 -2.194 -3.662 2.387 4.265" Properties=species:S:1:pos:R:3 pbc="T T T"
Sr -4.006 7.974 0.807
Mg -1.994 3.847 0.490
La -5.982 11.541 1.469
Sr -4.296 12.721 -2.135
```

---

(6)
This record from the Alexandria database describes a relaxed SrLaMg crystal. The functional is PBE-GGA.

Output
- Distance to the lowest polymorph of the same formula: 10.65 kJ per mole of atoms
- M_tot: 0.00 μB/f.u.
- Fermi-level density of states: 1.315 states/eV/atom
- ρ: 3.8 g/cm³
- Total energy: -2.61 eV per atom
- ΔE_f: 0.1208 eV per atom

Geometry as extended XYZ:
```
3
Lattice="-5.276 0.471 2.537 4.564 -2.053 3.075 0.810 3.383 1.056" Properties=species:S:1:pos:R:3 pbc="T T T"
La 0.014 0.060 0.019
Mg -1.711 0.822 3.088
Sr 1.794 0.919 3.561
```

---

(7)
This record from the Alexandria database describes a relaxed Sr2LaMg crystal. The functional is PBE-GGA.

Output
- M_tot: 0.00 μB/f.u.
- Fermi-level density of states: 1.511 states/eV/atom
- ρ: 3.5 g/cm³
- Total energy: -2.35 eV per atom
- ΔE_f: 0.1235 eV per atom

Geometry as extended XYZ:
```
4
Lattice="-1.055 5.202 2.275 1.035 -1.906 4.839 5.110 1.292 -0.585" Properties=species:S:1:pos:R:3 pbc="T T T"
La 2.545 2.294 3.265
Sr 0.518 -0.953 2.419
Mg -0.527 2.601 1.138
Sr 2.555 0.646 -0.292
```

---

(8)
This record from the Alexandria database describes a relaxed SrLaMg6 crystal. The functional is PBE-GGA.

Output
- Distance to the lowest polymorph of the same formula: 3.56 kJ per mole of atoms
- M_tot: 0.00 μB/f.u.
- Fermi-level density of states: 0.869 states/eV/atom
- ρ: 2.6 g/cm³
- Total energy: -2.03 eV per atom
- ΔE_f: -0.0108 eV per atom

Geometry as extended XYZ:
```
8
Lattice="4.926 -4.928 0.000 4.926 4.928 0.000 0.000 0.000 4.813" Properties=species:S:1:pos:R:3 pbc="T T T"
Mg 7.387 1.232 2.407
Mg 2.387 -1.233 0.000
Mg 7.465 -1.233 0.000
Mg 4.926 1.310 0.000
La 4.926 3.696 2.407
Mg 4.926 -3.772 0.000
Mg 2.464 1.232 2.407
Sr 4.926 -1.233 2.407
```

---

(9)
This record from the Alexandria database describes a relaxed SrLaMg4 crystal. The functional is PBE-GGA.

Output
- M_tot: 0.00 μB/f.u.
- Fermi-level density of states: 0.653 states/eV/atom
- ρ: 3.0 g/cm³
- Total energy: -2.27 eV per atom
- ΔE_f: -0.1024 eV per atom

Geometry as extended XYZ:
```
6
Lattice="6.316 0.000 0.000 3.158 5.469 0.000 3.158 1.823 5.157" Properties=species:S:1:pos:R:3 pbc="T T T"
Mg 7.911 4.567 3.230
Sr 3.158 1.823 1.289
La 0.000 0.000 0.000
Mg 4.720 4.567 3.230
Mg 6.316 1.804 3.230
Mg 6.316 3.646 0.624
```

---

(10)
This record from the Alexandria database describes a relaxed Sr2LaMg crystal. The functional is PBE-GGA.

Output
- M_tot: 0.00 μB/f.u.
- Fermi-level density of states: 1.381 states/eV/atom
- ρ: 3.5 g/cm³
- Total energy: -2.35 eV per atom
- ΔE_f: 0.1193 eV per atom

Geometry as extended XYZ:
```
4
Lattice="-2.149 1.538 -4.806 2.734 -2.026 -1.871 -1.783 -8.178 -1.820" Properties=species:S:1:pos:R:3 pbc="T T T"
Sr -1.739 -8.116 -1.820
La -0.837 -1.782 -3.326
Mg -0.361 -6.884 -5.172
Sr 0.431 -5.164 -1.846
```

---

(11)
This record from the Alexandria database describes a relaxed SrLa2Mg crystal. The functional is PBE-GGA.

Output
- M_tot: 0.00 μB/f.u.
- Fermi-level density of states: 1.293 states/eV/atom
- ρ: 4.4 g/cm³
- Total energy: -3.17 eV per atom
- ΔE_f: 0.1152 eV per atom

Geometry as extended XYZ:
```
4
Lattice="-6.568 -2.739 1.183 5.980 -3.520 1.974 -0.222 0.121 3.650" Properties=species:S:1:pos:R:3 pbc="T T T"
Sr 2.879 -1.699 2.812
La -0.294 -3.129 1.578
La 0.000 0.000 0.000
Mg -3.395 -1.309 2.416
```

---

(12)
This record from the Alexandria database describes a relaxed SrLa5Mg6 crystal. The functional is PBE-GGA.

Output
- M_tot: 0.00 μB/f.u.
- Fermi-level density of states: 1.061 states/eV/atom
- ρ: 4.0 g/cm³
- Total energy: -3.09 eV per atom
- ΔE_f: -0.0949 eV per atom

Geometry as extended XYZ:
```
12
Lattice="5.419 0.023 -1.582 -1.097 7.028 -3.660 -0.092 0.520 9.768" Properties=species:S:1:pos:R:3 pbc="T T T"
Mg 4.349 0.974 4.840
Sr 0.000 0.000 0.000
La 3.393 1.347 1.569
La 2.861 4.895 -0.201
Mg 1.901 5.187 -3.486
Mg 3.812 4.410 3.051
Mg -0.119 6.597 -0.313
Mg 0.417 3.161 1.476
La 0.837 6.224 2.958
Mg 2.421 1.864 -1.756
La -0.549 3.514 -1.830
La 1.368 2.676 4.728
```